[1]
Entry from the Alexandria database: a relaxed structure of Ca2AlPb (PBE).

Computed properties:
Density of states at the Fermi level   0.710 states/eV per atom
Raw total energy   -3.20 eV/atom
Calculated formation energy   -0.334 eV per atom

Lattice parameters (Å, degrees): 5.420 5.420 5.420 60.00 60.00 60.00
Fractional positions:
Ca  0.750  0.750  0.750
Ca  0.250  0.250  0.250
Pb  0.500  0.500  0.500
Al  0.000  0.000  0.000



[2]
Entry from the Alexandria database: a relaxed structure of Ca2AlPb (PBE).

Computed properties:
Density of states at the Fermi level   0.665 states/eV per atom
Raw total energy   -2.99 eV/atom
Calculated formation energy   -0.127 eV per atom

Lattice parameters (Å, degrees): 3.797 3.797 8.589 90.00 90.00 90.00
Fractional positions:
Ca  0.500  0.500  0.296
Ca  0.000  0.000  0.945
Pb  0.000  0.000  0.548
Al  0.500  0.500  0.712



Density: 4.636, 4.216 (Mg/m³)